Compound: FePtRh
Source: the Alexandria database
Functional: PBE-GGA
Structure: optimized geometry

Calculated values
Excess energy over the best structure of this formula in the dataset: 2 meV/atom
Total magnetic moment: 3.21 μB/f.u.
Formation energy: -0.12 eV/atom

The structure in extended XYZ format:
```
3
Lattice="-3.783 -4.312 -1.591 -1.293 -3.695 -4.484 3.734 2.680 3.784" Properties=species:S:1:pos:R:3 pbc="T T T"
Rh -3.339 -5.267 -3.996
Pt -1.724 -2.719 -2.063
Fe -0.014 -0.022 -0.016
```